Model A:
Compound: LaBe2Ir
Source: Alexandria
Functional: PBEsol
Structure: relaxed

Cell and atoms, written as CIF:
```
data_LaBe2Ir
_chemical_formula_sum 'La3 Be6 Ir3'
_cell_length_a 3.9118
_cell_length_b 3.9118
_cell_length_c 15.1183
_cell_angle_alpha 90.00
_cell_angle_beta 90.00
_cell_angle_gamma 120.00
_space_group_name_H-M_alt 'R -3 m'
_space_group_IT_number 166
_space_group_name_Hall '-R 3 2"'
loop_
_atom_site_label
_atom_site_type_symbol
_atom_site_fract_x
_atom_site_fract_y
_atom_site_fract_z
La1 La 0.0000 0.0000 0.0000
Be1 Be 0.0000 0.0000 0.1912
Ir1 Ir 0.0000 0.0000 0.5000
```

Properties
Spin magnetization (Bohr magnetons per cell): 0.0
Mass density (g/cm³): 8.68
Crystal system: trigonal

=====

Model B:
Compound: LaBe2Ir
Source: Alexandria
Functional: PBEsol
Structure: relaxed

Cell and atoms, written as CIF:
```
data_LaBe2Ir
_chemical_formula_sum 'La1 Be2 Ir1'
_cell_length_a 2.940
_cell_length_b 2.940
_cell_length_c 6.909
_cell_angle_alpha 90.00
_cell_angle_beta 90.00
_cell_angle_gamma 90.00
_space_group_name_H-M_alt 'P 4/m m m'
_space_group_IT_number 123
_space_group_name_Hall '-P 4 2'
loop_
_atom_site_label
_atom_site_type_symbol
_atom_site_fract_x
_atom_site_fract_y
_atom_site_fract_z
La1 La 0.000 0.000 0.000
Be1 Be 0.500 0.500 0.338
Ir1 Ir 0.000 0.000 0.500
```

Properties
Spin magnetization (Bohr magnetons per cell): 0.0
Mass density (g/cm³): 9.71
Crystal system: tetragonal

=====

Model C:
Compound: LaBe2Ir
Source: Alexandria
Functional: PBEsol
Structure: relaxed

Cell and atoms, written as CIF:
```
data_LaBe2Ir
_chemical_formula_sum 'La3 Be6 Ir3'
_cell_length_a 3.9458
_cell_length_b 3.9458
_cell_length_c 15.2549
_cell_angle_alpha 90.00
_cell_angle_beta 90.00
_cell_angle_gamma 120.00
_space_group_name_H-M_alt 'R 3 m'
_space_group_IT_number 160
_space_group_name_Hall 'R 3 -2"'
loop_
_atom_site_label
_atom_site_type_symbol
_atom_site_fract_x
_atom_site_fract_y
_atom_site_fract_z
La1 La 0.0000 0.0000 0.0000
Be1 Be 0.0000 0.0000 0.1844
Be2 Be 0.0000 0.0000 0.4902
Ir1 Ir 0.0000 0.0000 0.8079
```

Properties
Spin magnetization (Bohr magnetons per cell): 0.0
Mass density (g/cm³): 8.46
Crystal system: trigonal

=====

Of them, the most stable is model A and the least stable is model B.

=====

Model A:
Compound: MgBeIr2
Source: Alexandria
Functional: PBEsol
Structure: relaxed

Cell and atoms, written as CIF:
```
data_MgBeIr2
_chemical_formula_sum 'Mg1 Be1 Ir2'
_cell_length_a 2.869
_cell_length_b 2.869
_cell_length_c 6.185
_cell_angle_alpha 90.00
_cell_angle_beta 90.00
_cell_angle_gamma 90.00
_space_group_name_H-M_alt 'P 4/m m m'
_space_group_IT_number 123
_space_group_name_Hall '-P 4 2'
loop_
_atom_site_label
_atom_site_type_symbol
_atom_site_fract_x
_atom_site_fract_y
_atom_site_fract_z
Mg1 Mg 0.000 0.000 0.000
Be1 Be 0.000 0.000 0.500
Ir1 Ir 0.500 0.500 0.285
```

Properties
Spin magnetization (Bohr magnetons per cell): 0.0
Mass density (g/cm³): 13.62
Crystal system: tetragonal

=====

Model B:
Compound: MgBeIr2
Source: Alexandria
Functional: PBEsol
Structure: relaxed

Cell and atoms, written as CIF:
```
data_MgBeIr2
_chemical_formula_sum 'Mg1 Be1 Ir2'
_cell_length_a 2.880
_cell_length_b 2.880
_cell_length_c 6.389
_cell_angle_alpha 90.00
_cell_angle_beta 90.00
_cell_angle_gamma 90.00
_space_group_name_H-M_alt 'P 4 m m'
_space_group_IT_number 99
_space_group_name_Hall 'P 4 -2'
loop_
_atom_site_label
_atom_site_type_symbol
_atom_site_fract_x
_atom_site_fract_y
_atom_site_fract_z
Mg1 Mg 0.000 0.000 0.000
Be1 Be 0.500 0.500 0.280
Ir1 Ir 0.000 0.000 0.439
Ir2 Ir 0.500 0.500 0.731
```

Properties
Spin magnetization (Bohr magnetons per cell): 0.0
Mass density (g/cm³): 13.09
Crystal system: tetragonal

=====

Model C:
Compound: MgBeIr2
Source: Alexandria
Functional: PBEsol
Structure: relaxed

Cell and atoms, written as CIF:
```
data_MgBeIr2
_chemical_formula_sum 'Mg1 Be1 Ir2'
_cell_length_a 4.145
_cell_length_b 4.145
_cell_length_c 2.947
_cell_angle_alpha 90.00
_cell_angle_beta 90.00
_cell_angle_gamma 90.00
_space_group_name_H-M_alt 'P 4/m m m'
_space_group_IT_number 123
_space_group_name_Hall '-P 4 2'
loop_
_atom_site_label
_atom_site_type_symbol
_atom_site_fract_x
_atom_site_fract_y
_atom_site_fract_z
Mg1 Mg 0.000 0.000 0.000
Be1 Be 0.500 0.500 0.000
Ir1 Ir 0.000 0.500 0.500
```

Properties
Spin magnetization (Bohr magnetons per cell): 0.0
Mass density (g/cm³): 13.70
Crystal system: tetragonal

=====

Of them, the most stable is model A and the least stable is model B.

=====

Model A:
Compound: MgBe2Ir2
Source: Alexandria
Functional: PBEsol
Structure: relaxed

Cell and atoms, written as CIF:
```
data_MgBe2Ir2
_chemical_formula_sum 'Mg2 Be4 Ir4'
_cell_length_a 6.672
_cell_length_b 6.672
_cell_length_c 2.797
_cell_angle_alpha 90.00
_cell_angle_beta 90.00
_cell_angle_gamma 90.00
_space_group_name_H-M_alt 'P 4/m b m'
_space_group_IT_number 127
_space_group_name_Hall '-P 4 2ab'
loop_
_atom_site_label
_atom_site_type_symbol
_atom_site_fract_x
_atom_site_fract_y
_atom_site_fract_z
Mg1 Mg 0.000 0.000 0.000
Be1 Be 0.148 0.352 0.500
Ir1 Ir 0.144 0.644 0.000
```

Properties
Spin magnetization (Bohr magnetons per cell): 0.0
Mass density (g/cm³): 11.38
Crystal system: tetragonal

=====

Model B:
Compound: MgBe2Ir2
Source: Alexandria
Functional: PBEsol
Structure: relaxed

Cell and atoms, written as CIF:
```
data_MgBe2Ir2
_chemical_formula_sum 'Mg2 Be4 Ir4'
_cell_length_a 6.355
_cell_length_b 6.355
_cell_length_c 2.892
_cell_angle_alpha 90.00
_cell_angle_beta 90.00
_cell_angle_gamma 90.00
_space_group_name_H-M_alt 'P 4/m b m'
_space_group_IT_number 127
_space_group_name_Hall '-P 4 2ab'
loop_
_atom_site_label
_atom_site_type_symbol
_atom_site_fract_x
_atom_site_fract_y
_atom_site_fract_z
Mg1 Mg 0.000 0.000 0.000
Be1 Be 0.126 0.374 0.000
Ir1 Ir 0.163 0.663 0.500
```

Properties
Spin magnetization (Bohr magnetons per cell): 0.0
Mass density (g/cm³): 12.14
Crystal system: tetragonal

=====

Of them, the most stable is model B and the least stable is model A.

=====

Model A:
Compound: MnBe2Ir
Source: Alexandria
Functional: PBEsol
Structure: relaxed

Cell and atoms, written as CIF:
```
data_MnBe2Ir
_chemical_formula_sum 'Mn4 Be8 Ir4'
_cell_length_a 5.973
_cell_length_b 5.973
_cell_length_c 5.017
_cell_angle_alpha 90.00
_cell_angle_beta 90.00
_cell_angle_gamma 90.00
_space_group_name_H-M_alt 'I -4 2 d'
_space_group_IT_number 122
_space_group_name_Hall 'I -4 2bw'
loop_
_atom_site_label
_atom_site_type_symbol
_atom_site_fract_x
_atom_site_fract_y
_atom_site_fract_z
Mn1 Mn 0.000 0.000 0.000
Be1 Be 0.249 0.750 0.125
Ir1 Ir 0.000 0.000 0.500
```

Properties
Spin magnetization (Bohr magnetons per cell): 11.8
Mass density (g/cm³): 9.84
Crystal system: tetragonal

=====

Model B:
Compound: MnBe2Ir
Source: Alexandria
Functional: PBEsol
Structure: relaxed

Cell and atoms, written as CIF:
```
data_MnBe2Ir
_chemical_formula_sum 'Mn4 Be8 Ir4'
_cell_length_a 5.485
_cell_length_b 5.485
_cell_length_c 5.485
_cell_angle_alpha 90.00
_cell_angle_beta 90.00
_cell_angle_gamma 90.00
_space_group_name_H-M_alt 'F m -3 m'
_space_group_IT_number 225
_space_group_name_Hall '-F 4 2 3'
loop_
_atom_site_label
_atom_site_type_symbol
_atom_site_fract_x
_atom_site_fract_y
_atom_site_fract_z
Mn1 Mn 0.000 0.000 0.000
Be1 Be 0.250 0.250 0.250
Ir1 Ir 0.000 0.000 0.500
```

Properties
Spin magnetization (Bohr magnetons per cell): 12.0
Mass density (g/cm³): 10.68
Crystal system: cubic

=====

Of them, the most stable is model B and the least stable is model A.